The following is a DFT calculation (PBE) of a relaxed InCuAgHg crystal.

The space group is F-43m (No. 216) and the conventional cell measures 6.746, 6.746 and 6.746 Å, with angles of 90.00, 90.00 and 90.00 degrees. The distinct sites, in fractional coordinates, are In at (0.000, 0.000, 0.000), Cu at (0.250, 0.250, 0.250), Ag at (0.000, 0.000, 0.500) and Hg at (0.250, 0.250, 0.750).

For the offset from the most stable computed form, the calculation gives 0.89 kcal/mol of atoms.

=====

The following is a DFT calculation (PBE) of a relaxed InCuAgHg crystal.

The space group is F-43m (No. 216) and the conventional cell measures 6.731, 6.731 and 6.731 Å, with angles of 90.00, 90.00 and 90.00 degrees. The distinct sites, in fractional coordinates, are In at (0.000, 0.000, 0.000), Cu at (0.250, 0.250, 0.250), Ag at (0.250, 0.250, 0.750) and Hg at (0.000, 0.000, 0.500).

For the offset from the most stable computed form, the calculation gives 0.00 kcal/mol of atoms.

=====

The following is a DFT calculation (PBE) of a relaxed Y3Mg3CuAgHg crystal.

The space group is P-6 (No. 174) and the conventional cell measures 7.6434, 7.6434 and 4.1529 Å, with angles of 90.00, 90.00 and 120.00 degrees. The distinct sites, in fractional coordinates, are Y at (0.0728, 0.7348, 0.0000), Mg at (0.4291, 0.0957, 0.5000), Cu at (0.6667, 0.3333, 0.0000), Ag at (0.3333, 0.6667, 0.5000) and Hg at (0.0000, 0.0000, 0.5000).

The magnetization comes out at 0.01 μB per atom.

=====

The following is a DFT calculation (PBE) of a relaxed CuAgSnHgS4 crystal.

The space group is I-4 (No. 82) and the conventional cell measures 5.787, 5.787 and 11.242 Å, with angles of 90.00, 90.00 and 90.00 degrees. The distinct sites, in fractional coordinates, are Cu at (0.000, 0.000, 0.000), Ag at (0.000, 0.000, 0.500), Sn at (0.000, 0.500, 0.250), Hg at (0.000, 0.500, 0.750) and S at (0.221, 0.243, 0.117).

=====

The following is a DFT calculation (PBE) of a relaxed CuSiAgHgSe4 crystal.

The space group is I-4 (No. 82) and the conventional cell measures 5.937, 5.937 and 11.292 Å, with angles of 90.00, 90.00 and 90.00 degrees. The distinct sites, in fractional coordinates, are Cu at (0.000, 0.000, 0.000), Si at (0.000, 0.500, 0.750), Ag at (0.000, 0.000, 0.500), Hg at (0.000, 0.500, 0.250) and Se at (0.203, 0.735, 0.876).

=====

The following is a DFT calculation (PBE) of a relaxed CuAgSnHgSe4 crystal.

The space group is I-4 (No. 82) and the conventional cell measures 5.918, 5.918 and 12.460 Å, with angles of 90.00, 90.00 and 90.00 degrees. The distinct sites, in fractional coordinates, are Cu at (0.000, 0.000, 0.000), Ag at (0.000, 0.500, 0.250), Sn at (0.000, 0.000, 0.500), Hg at (0.000, 0.500, 0.750) and Se at (0.232, 0.242, 0.115).

=====

The following is a DFT calculation (PBE) of a relaxed CuAgSnHgTe4 crystal.

The space group is I-4 (No. 82) and the conventional cell measures 6.470, 6.470 and 12.593 Å, with angles of 90.00, 90.00 and 90.00 degrees. The distinct sites, in fractional coordinates, are Cu at (0.000, 0.000, 0.000), Ag at (0.000, 0.000, 0.500), Sn at (0.000, 0.500, 0.250), Hg at (0.000, 0.500, 0.750) and Te at (0.234, 0.759, 0.113).

=====

The following is a DFT calculation (PBE) of a relaxed ZnCuAgHg crystal.

The space group is F-43m (No. 216) and the conventional cell measures 6.446, 6.446 and 6.446 Å, with angles of 90.00, 90.00 and 90.00 degrees. The distinct sites, in fractional coordinates, are Zn at (0.000, 0.000, 0.000), Cu at (0.250, 0.250, 0.250), Ag at (0.250, 0.250, 0.750) and Hg at (0.000, 0.000, 0.500).

For the offset from the most stable computed form, the calculation gives 0.00 kcal/mol of atoms. For the formation energy, the calculation gives 0.11 eV per atom.

=====

| no. | total DFT energy (no corrections) (eV per atom) |
| --- | --- |
| 1 | -2.22 |
| 2 | -2.26 |
| 3 | -3.74 |
| 4 | -3.68 |
| 5 | -3.55 |
| 6 | -3.36 |
| 7 | -3.09 |
| 8 | -1.91 |